An optimized crystal structure of La4Sm4Tm, computed with GGA-PBE.

Calculated values
Density of states at the Fermi level, states/eV/cell: 27.638
Energy above the most stable polymorph in this dataset, meV per atom: 0
Magnetic moment, μB per formula unit: 0.0
Calculated formation energy, meV per atom: 21

a = 10.9614 Å, b = 10.9614 Å, c = 5.2012 Å
α = 90.00°, β = 90.00°, γ = 90.00°
Space group I4/mmm (No. 139)
Symmetry-distinct sites (fractional):
1 La 0.1664 0.1664 0.0000 [8 per cell]
2 Sm 0.0000 0.3337 0.5000 [8 per cell]
3 Tm 0.0000 0.0000 0.5000 [2 per cell]

An optimized crystal structure of CuSbOsF, computed with GGA-PBE.

Calculated values
Density of states at the Fermi level, states/eV/cell: 7.887
Uncorrected formation energy, eV per atom: -0.092
Energy above the most stable polymorph in this dataset, meV per atom: 118
Magnetic moment, μB per formula unit: 0.0

a = 2.8908 Å, b = 4.3686 Å, c = 10.6626 Å
α = 90.00°, β = 90.00°, γ = 90.00°
Space group Amm2 (No. 38)
Symmetry-distinct sites (fractional):
1 Cu 0.0000 0.0000 0.0000 [2 per cell]
2 Sb 0.0000 0.0000 0.3068 [2 per cell]
3 Os 0.5000 0.0000 0.5107 [2 per cell]
4 F 0.5000 0.0000 0.7099 [2 per cell]

An optimized crystal structure of LaGe3Br, computed with GGA-PBE.

Calculated values
Density of states at the Fermi level, states/eV/cell: 8.325
Uncorrected formation energy, eV per atom: 0.840
Energy above the most stable polymorph in this dataset, meV per atom: 507
Magnetic moment, μB per formula unit: 0.0

a = 5.7687 Å, b = 5.7687 Å, c = 5.7687 Å
α = 90.00°, β = 90.00°, γ = 90.00°
Space group Pm-3m (No. 221)
Symmetry-distinct sites (fractional):
1 La 0.0000 0.0000 0.0000 [1 per cell]
2 Ge 0.0000 0.0000 0.5000 [3 per cell]
3 Br 0.5000 0.5000 0.5000 [1 per cell]